Arrangement i

First-principles (PBE) data for an optimized crystal structure of CsMn2Cl8, as listed in the Alexandria database.

Geometry as POSCAR:
```
CsMn2Cl8
1.0
-2.614 0.837 -6.145
6.611 -3.230 -1.952
-7.319 -5.072 3.059
Mn Cl Cs
2 8 1
Direct
0.763 0.624 0.306 Mn
0.237 0.376 0.694 Mn
0.062 0.581 0.240 Cl
0.400 0.709 0.833 Cl
0.694 0.754 0.559 Cl
0.306 0.246 0.441 Cl
0.938 0.419 0.760 Cl
0.600 0.291 0.166 Cl
0.284 0.125 0.729 Cl
0.716 0.875 0.271 Cl
0.000 0.000 0.000 Cs
```

* total magnetic moment: 7.00 μB/cell

---

Arrangement ii

First-principles (PBE) data for an optimized crystal structure of CsMn2Cl8, as listed in the Alexandria database.

Geometry as POSCAR:
```
CsMn2Cl8
1.0
-0.183 -5.057 -3.447
4.720 2.078 -3.300
5.541 -3.920 5.456
Cl Mn Cs
8 2 1
Direct
0.751 0.249 0.177 Cl
0.751 0.751 0.177 Cl
0.249 0.249 0.177 Cl
0.249 0.751 0.177 Cl
0.751 0.249 0.823 Cl
0.249 0.751 0.823 Cl
0.751 0.751 0.823 Cl
0.249 0.249 0.823 Cl
0.500 0.000 0.000 Mn
0.000 0.500 0.000 Mn
0.500 0.500 0.500 Cs
```

* total magnetic moment: 7.80 μB/cell

---

Most favorable structure: arrangement i. The second most favorable one is 364 meV per atom above it.

---

Arrangement i

First-principles (PBE) data for an optimized crystal structure of CsMnCl6, as listed in the Alexandria database.

Geometry as POSCAR:
```
CsMnCl6
1.0
-4.140 -4.662 -1.540
4.896 -3.719 1.859
-2.346 1.786 5.741
Cs Cl Mn
1 6 1
Direct
0.500 0.500 0.500 Cs
0.753 0.753 0.077 Cl
0.070 0.740 0.748 Cl
0.260 0.930 0.252 Cl
0.740 0.070 0.748 Cl
0.247 0.247 0.923 Cl
0.930 0.260 0.252 Cl
0.000 0.000 0.000 Mn
```

* total magnetic moment: 4.11 μB/cell

---

Arrangement ii

First-principles (PBE) data for an optimized crystal structure of CsMnCl6, as listed in the Alexandria database.

Geometry as POSCAR:
```
CsMnCl6
1.0
-1.574 4.626 -6.539
-7.449 3.166 -1.062
-1.184 8.030 0.870
Cl Cs Mn
6 1 1
Direct
0.804 0.196 0.804 Cl
0.804 0.196 0.196 Cl
0.196 0.804 0.804 Cl
0.196 0.196 0.804 Cl
0.804 0.804 0.196 Cl
0.196 0.804 0.196 Cl
0.500 0.500 0.500 Cs
0.000 0.000 0.000 Mn
```

* total magnetic moment: 4.11 μB/cell

---

Most favorable structure: arrangement i. The second most favorable one is 47 meV per atom above it.

---

Arrangement i

First-principles (PBE) data for an optimized crystal structure of Cs2MnCl4, as listed in the Alexandria database.

Geometry as POSCAR:
```
Cs2MnCl4
1.0
5.198 0.000 0.000
0.000 5.198 0.000
2.599 2.599 8.536
Cl Mn Cs
4 1 2
Direct
0.500 0.000 0.000 Cl
0.000 0.500 0.000 Cl
0.852 0.852 0.296 Cl
0.148 0.148 0.704 Cl
0.000 0.000 0.000 Mn
0.643 0.643 0.714 Cs
0.357 0.357 0.286 Cs
```

* total magnetic moment: 5.00 μB/cell

---

Arrangement ii

First-principles (PBE) data for an optimized crystal structure of Cs2MnCl4, as listed in the Alexandria database.

Geometry as POSCAR:
```
Cs2MnCl4
1.0
-1.623 -4.555 -5.731
6.466 1.896 -3.338
5.046 -5.084 6.888
Cl Mn Cs
8 2 4
Direct
0.497 0.995 0.274 Cl
0.860 0.250 0.034 Cl
0.140 0.750 0.966 Cl
0.497 0.505 0.274 Cl
0.503 0.005 0.726 Cl
0.503 0.495 0.726 Cl
0.916 0.250 0.652 Cl
0.084 0.750 0.348 Cl
0.292 0.750 0.216 Mn
0.708 0.250 0.784 Mn
0.195 0.250 0.420 Cs
0.805 0.750 0.580 Cs
0.299 0.250 0.962 Cs
0.701 0.750 0.038 Cs
```

* total magnetic moment: 10.00 μB/cell

---

Most favorable structure: arrangement ii. The second most favorable one is 25 meV per atom above it.

---

Arrangement i

First-principles (PBE) data for an optimized crystal structure of Cs3MnCl4, as listed in the Alexandria database.

Geometry as POSCAR:
```
Cs3MnCl4
1.0
-4.897 2.853 -4.637
-2.801 -5.670 3.690
2.016 4.867 5.086
Cl Cs Mn
4 3 1
Direct
0.000 0.789 0.214 Cl
0.000 0.214 0.789 Cl
0.575 0.786 0.786 Cl
0.425 0.211 0.211 Cl
0.500 0.750 0.250 Cs
0.000 0.500 0.500 Cs
0.500 0.250 0.750 Cs
0.000 0.000 0.000 Mn
```

* total magnetic moment: 4.00 μB/cell

---

Arrangement ii

First-principles (PBE) data for an optimized crystal structure of Cs3MnCl4, as listed in the Alexandria database.

Geometry as POSCAR:
```
Cs3MnCl4
1.0
-1.279 3.541 -6.325
-6.397 -1.432 3.348
4.167 4.210 4.370
Cl Cs Mn
4 3 1
Direct
0.333 0.333 0.333 Cl
0.000 0.667 0.000 Cl
0.667 0.000 0.000 Cl
0.000 0.000 0.667 Cl
0.500 0.000 0.500 Cs
0.500 0.500 0.000 Cs
0.000 0.500 0.500 Cs
0.000 0.000 0.000 Mn
```

* total magnetic moment: 4.31 μB/cell

---

Most favorable structure: arrangement i. The second most favorable one is 68 meV per atom above it.

---

Arrangement i

First-principles (PBE) data for an optimized crystal structure of CsMnS2Cl, as listed in the Alexandria database.

Geometry as POSCAR:
```
CsMnS2Cl
1.0
5.438 0.000 0.000
0.000 5.438 0.000
0.000 0.000 6.098
Mn S Cs Cl
1 2 1 1
Direct
0.500 0.500 0.500 Mn
0.500 0.000 0.000 S
0.000 0.500 0.000 S
0.000 0.000 0.000 Cs
0.000 0.000 0.500 Cl
```

* total magnetic moment: 5.38 μB/cell

---

Arrangement ii

First-principles (PBE) data for an optimized crystal structure of CsMnS2Cl, as listed in the Alexandria database.

Geometry as POSCAR:
```
CsMnS2Cl
1.0
4.706 0.000 0.000
0.000 4.706 0.000
0.000 0.000 5.523
Cl Cs S Mn
1 1 2 1
Direct
0.000 0.000 0.500 Cl
0.500 0.500 0.500 Cs
0.500 0.000 0.000 S
0.000 0.500 0.000 S
0.000 0.000 0.000 Mn
```

* total magnetic moment: 3.52 μB/cell

---

Most favorable structure: arrangement ii. The second most favorable one is 1630 meV per atom above it.

---

Arrangement i

First-principles (PBE) data for an optimized crystal structure of Cs2MnZnCl6, as listed in the Alexandria database.

Geometry as POSCAR:
```
Cs2MnZnCl6
1.0
7.307 0.000 0.000
3.653 6.328 0.000
3.653 2.109 11.948
Cl Zn Cs Mn
12 2 4 2
Direct
0.291 0.793 0.123 Cl
0.207 0.207 0.877 Cl
0.793 0.291 0.123 Cl
0.793 0.793 0.123 Cl
0.606 0.165 0.623 Cl
0.394 0.394 0.377 Cl
0.165 0.606 0.623 Cl
0.207 0.709 0.877 Cl
0.394 0.835 0.377 Cl
0.835 0.394 0.377 Cl
0.709 0.207 0.877 Cl
0.606 0.606 0.623 Cl
0.587 0.587 0.238 Zn
0.413 0.413 0.762 Zn
0.710 0.710 0.870 Cs
0.874 0.874 0.379 Cs
0.290 0.290 0.130 Cs
0.126 0.126 0.621 Cs
0.500 0.500 0.500 Mn
0.000 0.000 0.000 Mn
```

* total magnetic moment: 4.05 μB/cell

---

Arrangement ii

First-principles (PBE) data for an optimized crystal structure of Cs2MnZnCl6, as listed in the Alexandria database.

Geometry as POSCAR:
```
Cs2MnZnCl6
1.0
-4.243 -2.366 -5.459
-1.705 -5.940 3.900
-6.957 -1.681 1.244
Cl Zn Mn Cs
6 1 1 2
Direct
0.771 0.771 0.459 Cl
0.259 0.259 0.000 Cl
0.229 0.229 0.541 Cl
0.259 0.741 0.000 Cl
0.741 0.741 0.000 Cl
0.741 0.259 0.000 Cl
0.000 0.000 0.000 Zn
0.500 0.500 0.000 Mn
0.250 0.750 0.500 Cs
0.750 0.250 0.500 Cs
```

* total magnetic moment: 5.00 μB/cell

---

Most favorable structure: arrangement ii. The second most favorable one is 79 meV per atom above it.

---

Arrangement i

First-principles (PBE) data for an optimized crystal structure of Cs3MoCl6, as listed in the Alexandria database.

Geometry as POSCAR:
```
Cs3MoCl6
1.0
-0.735 -0.196 -8.056
-7.985 -1.072 0.754
-5.127 5.036 -3.719
Cl Cs Mo
6 3 1
Direct
0.715 0.715 0.570 Cl
0.285 0.285 0.430 Cl
0.285 0.715 0.000 Cl
0.715 0.285 0.000 Cl
0.285 0.285 0.000 Cl
0.715 0.715 0.000 Cl
0.750 0.250 0.500 Cs
0.250 0.750 0.500 Cs
0.000 0.000 0.000 Cs
0.500 0.500 0.000 Mo
```

* total magnetic moment: 3.00 μB/cell

---

Arrangement ii

First-principles (PBE) data for an optimized crystal structure of Cs3MoCl6, as listed in the Alexandria database.

Geometry as POSCAR:
```
Cs3MoCl6
1.0
-4.318 5.128 -6.467
-8.014 -4.184 2.244
-1.471 6.588 6.418
Cs Cl Mo
6 12 2
Direct
0.934 0.752 0.436 Cs
0.752 0.436 0.934 Cs
0.564 0.066 0.248 Cs
0.066 0.248 0.564 Cs
0.248 0.564 0.066 Cs
0.436 0.934 0.752 Cs
0.249 0.942 0.078 Cl
0.942 0.078 0.249 Cl
0.078 0.249 0.942 Cl
0.922 0.751 0.058 Cl
0.548 0.438 0.245 Cl
0.562 0.755 0.452 Cl
0.755 0.452 0.562 Cl
0.245 0.548 0.438 Cl
0.452 0.562 0.755 Cl
0.058 0.922 0.751 Cl
0.438 0.245 0.548 Cl
0.751 0.058 0.922 Cl
0.000 0.000 0.000 Mo
0.500 0.500 0.500 Mo
```

* total magnetic moment: 6.00 μB/cell

---

Most favorable structure: arrangement ii. The second most favorable one is 6 meV per atom above it.

---

Arrangement i

First-principles (PBE) data for an optimized crystal structure of CsMoCl3, as listed in the Alexandria database.

Geometry as POSCAR:
```
CsMoCl3
1.0
-3.332 -7.733 -2.339
0.366 -8.595 -1.543
-1.784 0.427 8.755
Cl Mo Cs
6 2 2
Direct
0.752 0.752 0.781 Cl
0.423 0.423 0.814 Cl
0.248 0.248 0.219 Cl
0.577 0.577 0.186 Cl
0.851 0.851 0.514 Cl
0.149 0.149 0.486 Cl
0.288 0.288 0.617 Mo
0.712 0.712 0.383 Mo
0.097 0.097 0.871 Cs
0.903 0.903 0.129 Cs
```

* total magnetic moment: 1.04 μB/cell

---

Arrangement ii

First-principles (PBE) data for an optimized crystal structure of CsMoCl3, as listed in the Alexandria database.

Geometry as POSCAR:
```
CsMoCl3
1.0
5.211 0.000 0.000
0.000 5.211 0.000
0.000 0.000 5.211
Cl Mo Cs
3 1 1
Direct
0.500 0.000 0.000 Cl
0.000 0.000 0.500 Cl
0.000 0.500 0.000 Cl
0.000 0.000 0.000 Mo
0.500 0.500 0.500 Cs
```

* total magnetic moment: 4.00 μB/cell

---

Most favorable structure: arrangement i. The second most favorable one is 18 meV per atom above it.